VASP calculation (PBE) on a relaxed HfP2Ru2 crystal.

Cell: 7.0654 7.0654 2.8769 Å, 90.00 90.00 90.00°
Space group P4/mbm (No. 127)
Unique sites:
Hf 0.0000 0.0000 0.0000 [2 per cell]
P 0.1543 0.3457 0.0000 [4 per cell]
Ru 0.1428 0.6428 0.5000 [4 per cell]

Calculated values
Total magnetization   0.000 μB/atom
Formation energy from the elements   -0.45 eV per atom
E   -8.317 eV/atom
ρ   10.23 g cm⁻³
Crystal system   tetragonal


VASP calculation (PBE) on a relaxed HfP3Ru crystal.

Cell: 4.5579 4.5579 4.5579 Å, 90.00 90.00 90.00°
Space group Pm-3m (No. 221)
Unique sites:
Hf 0.0000 0.0000 0.0000 [1 per cell]
P 0.0000 0.5000 0.5000 [3 per cell]
Ru 0.5000 0.5000 0.5000 [1 per cell]

Calculated values
Polymorph energy (0 for the lowest one)   0 meV per atom
Total magnetization   0.000 μB/atom
Formation energy from the elements   0.51 eV per atom
E   -6.584 eV/atom
ρ   6.53 g cm⁻³
Crystal system   cubic